A relaxed CuSbAsIr2 crystal, computed with PBE.

Calculated values
Final energy = -4.451 eV per atom
Crystal system = tetragonal
N(E_F) = 1.122 states/eV per atom

Unit cell a=4.875 b=5.156 c=4.875 alpha=90.00 beta=90.00 gamma=90.00
Element x y z (fractional)
Sb1 0.000 0.000 0.000
As1 0.000 0.500 0.000
Ir1 0.000 0.000 0.500
Ir2 0.500 0.000 0.000
Cu1 0.500 0.500 0.500